Entry 1:
## Pm12Ge6Cl (PBE)

Data for a relaxed structure of Pm12Ge6Cl.

Calculated values
- size of the total moment (μB per formula unit) = 0.0
- energy relative to the elements, uncorrected (eV/atom) = -0.604

```
19
Lattice="6.4659 3.7331 4.0222 -6.4659 3.7331 4.0222 0.0000 -7.4662 4.0222" Properties=species:S:1:pos:R:3 pbc="T T T"
Pm -5.7426 -1.4500 6.5783
Pm -1.6155 -5.6982 5.4883
Pm -2.4284 -0.3632 4.6916
Pm -4.1270 4.2482 5.4883
Pm 1.5287 -1.9215 4.6916
Pm -0.8997 -2.2847 7.3749
Pm 0.8997 2.2847 4.6916
Pm -1.5287 1.9215 7.3749
Pm 4.1270 -4.2482 6.5783
Pm 2.4284 0.3632 7.3749
Pm 1.6155 5.6982 6.5783
Pm 5.7426 1.4500 5.4883
Ge -1.1285 -3.0818 4.2414
Ge -2.1047 2.5182 4.2414
Ge -3.2332 -0.5636 7.8251
Ge 3.2332 0.5636 4.2414
Ge 2.1047 -2.5182 7.8251
Ge 1.1285 3.0818 7.8251
Cl 0.0000 0.0000 0.0000
```

Entry 2:
## Pm4Ge3Cl (PBE)

Data for a relaxed structure of Pm4Ge3Cl.

Calculated values
- size of the total moment (μB per formula unit) = 0.0
- energy relative to the elements, uncorrected (eV/atom) = -1.037

```
16
Lattice="8.4379 0.0000 0.0000 0.0000 11.9417 0.0000 0.0000 0.0000 4.2771" Properties=species:S:1:pos:R:3 pbc="T T T"
Pm 0.0000 2.9766 0.0000
Pm 0.0000 8.9651 0.0000
Pm 2.0053 0.0000 2.1386
Pm 2.2136 5.9709 2.1386
Pm 4.2190 2.9943 0.0000
Pm 4.2190 8.9474 0.0000
Pm 6.2243 5.9709 2.1386
Pm 6.4326 0.0000 2.1386
Ge 0.0000 0.0000 0.0000
Ge 2.1095 2.9854 2.1386
Ge 2.1095 8.9563 2.1386
Ge 4.2190 5.9709 0.0000
Ge 6.3284 2.9854 2.1386
Ge 6.3284 8.9563 2.1386
Cl 0.0000 5.9709 0.0000
Cl 4.2190 0.0000 0.0000
```

Entry 3:
## Pm4GeCl4 (PBE)

Data for a relaxed structure of Pm4GeCl4.

Calculated values
- size of the total moment (μB per formula unit) = 0.0
- energy relative to the elements, uncorrected (eV/atom) = -1.130

```
9
Lattice="-3.4330 3.4330 5.8103 3.4330 -3.4330 5.8103 3.4330 3.4330 -5.8103" Properties=species:S:1:pos:R:3 pbc="T T T"
Pm 1.9890 -1.9890 4.0202
Pm 1.4440 1.4440 1.7901
Pm -1.9890 1.9890 4.0202
Pm 1.9890 1.9890 7.6004
Ge 0.0000 0.0000 0.0000
Cl 3.4330 0.0000 0.0000
Cl 0.0000 0.0000 3.9030
Cl 0.0000 3.4330 0.0000
Cl 0.0000 0.0000 7.7176
```

Entry 4:
## Pm4GeCl (PBE)

Data for a relaxed structure of Pm4GeCl.

Calculated values
- size of the total moment (μB per formula unit) = 0.0
- energy relative to the elements, uncorrected (eV/atom) = -0.704

```
12
Lattice="6.9960 0.0000 0.0000 -2.5799 6.5185 0.0000 -2.2038 -3.2474 8.0225" Properties=species:S:1:pos:R:3 pbc="T T T"
Pm -0.6730 1.6122 0.8085
Pm -1.9232 4.9439 2.9309
Pm -0.6348 1.6810 5.0927
Pm 0.6159 -1.6433 7.2110
Pm 1.5965 4.9144 0.8115
Pm 2.8472 1.5901 2.9298
Pm 4.1356 -1.6727 5.0916
Pm 2.8853 1.6589 7.2140
Ge 0.4598 3.2641 2.9128
Ge 1.7526 0.0070 5.1097
Cl -3.0364 3.2655 4.9786
Cl 5.2487 0.0057 3.0439
```

Entry 5:
## Pm8Ge5Cl (PBE)

Data for a relaxed structure of Pm8Ge5Cl.

Calculated values
- size of the total moment (μB per formula unit) = 0.0
- energy relative to the elements, uncorrected (eV/atom) = -0.878

```
14
Lattice="-4.5085 4.5085 4.5613 4.5085 -4.5085 4.5613 4.5085 4.5085 -4.5613" Properties=species:S:1:pos:R:3 pbc="T T T"
Pm 3.8884 2.8709 -1.7702
Pm 6.2033 0.6484 0.6195
Pm 0.6484 2.8138 -0.6195
Pm 0.6201 1.6377 2.7911
Pm 3.8601 1.6948 3.9418
Pm 1.6377 -0.6201 6.3315
Pm 2.8709 5.1286 1.7702
Pm -1.6948 3.8601 5.1808
Ge 0.0000 0.0000 0.0000
Ge 2.2440 -1.1336 3.4618
Ge 3.3749 2.2645 1.0995
Ge 2.2645 5.6421 -1.0995
Ge 1.1336 2.2440 5.6608
Cl 0.0000 4.5085 2.2807
```

Entry 6:
## Pm3GeCl2 (PBE)

Data for a relaxed structure of Pm3GeCl2.

Calculated values
- size of the total moment (μB per formula unit) = 0.0
- energy relative to the elements, uncorrected (eV/atom) = -1.284

```
12
Lattice="4.3188 0.0000 0.0000 0.0000 5.8159 0.0000 0.0000 0.0000 12.1086" Properties=species:S:1:pos:R:3 pbc="T T T"
Pm 0.0000 0.0000 0.0000
Pm 0.0000 0.0000 4.1429
Pm 0.0000 0.0000 7.9658
Pm 2.1594 2.9079 1.9115
Pm 2.1594 2.9079 6.0543
Pm 2.1594 2.9079 10.1972
Ge 0.0000 2.9079 0.0000
Ge 2.1594 0.0000 6.0543
Cl 0.0000 2.9079 4.0665
Cl 0.0000 2.9079 8.0421
Cl 2.1594 0.0000 1.9878
Cl 2.1594 0.0000 10.1208
```

Entry 7:
## Pm4Ge2Cl3 (PBE)

Data for a relaxed structure of Pm4Ge2Cl3.

Calculated values
- size of the total moment (μB per formula unit) = 0.0
- energy relative to the elements, uncorrected (eV/atom) = -1.473

```
9
Lattice="3.6562 -2.1108 0.0000 3.6562 2.1108 0.0000 -0.0458 0.0000 16.9425" Properties=species:S:1:pos:R:3 pbc="T T T"
Pm -0.0024 0.0000 5.1042
Pm 2.4353 0.0000 1.8558
Pm 4.8314 0.0000 15.0867
Pm 7.2691 0.0000 11.8384
Ge 2.3942 0.0000 13.5208
Ge 4.8725 0.0000 3.4217
Cl 0.0000 0.0000 0.0000
Cl 2.4357 0.0000 6.6842
Cl 4.8309 0.0000 10.2583
```

Entry 8:
## Pm4GeCl5 (PBE)

Data for a relaxed structure of Pm4GeCl5.

Calculated values
- size of the total moment (μB per formula unit) = 0.0
- energy relative to the elements, uncorrected (eV/atom) = -1.751

```
10
Lattice="9.0395 -2.0411 0.0000 9.0395 2.0411 0.0000 -2.0132 0.0000 8.1286" Properties=species:S:1:pos:R:3 pbc="T T T"
Pm -0.4663 0.0000 1.9098
Pm 16.5321 0.0000 6.2188
Pm 4.3646 0.0000 7.3959
Pm 11.7012 0.0000 0.7327
Ge 9.0395 0.0000 0.0000
Cl 2.3430 0.0000 2.6580
Cl 1.3688 0.0000 6.9356
Cl 8.0329 0.0000 4.0643
Cl 14.6971 0.0000 1.1930
Cl 13.7228 0.0000 5.4706
```

Summary of electronic total energy in eV per atom
-5.160; -5.375; -4.575; -4.949; -5.374; -5.044; -5.226; -5.036
(order as listed above)